LaAl3N: optimized geometry, PBE.

Lattice parameters (Å, degrees): 5.9614 5.9614 5.9614 90.00 90.00 90.00
Space group Pm-3m (No. 221)
Unique sites:
La  0.0000  0.0000  0.0000 [1 per cell]
Al  0.0000  0.0000  0.5000 [3 per cell]
N  0.5000  0.5000  0.5000 [1 per cell]

Results
As for the total energy: -2.75 eV/atom. As for the crystal system: cubic. Its formation energy without anion corrections is 2.1488 eV per atom. As for the energy above the lowest structure with this stoichiometry: 2010 meV per atom.

---

La2AlN3: optimized geometry, PBE.

Lattice parameters (Å, degrees): 3.3054 17.9858 6.0280 90.00 90.00 90.00
Space group Cmcm (No. 63)
Unique sites:
La  0.0000  0.0275  0.2500 [4 per cell]
La  0.0000  0.1662  0.7500 [4 per cell]
Al  0.0000  0.3357  0.7500 [4 per cell]
N  0.0000  0.2187  0.2500 [4 per cell]
N  0.0000  0.4078  0.5062 [8 per cell]

Results
As for the total energy: -7.58 eV/atom. As for the crystal system: orthorhombic. Its formation energy without anion corrections is -1.1541 eV per atom. As for the energy above the lowest structure with this stoichiometry: 216 meV per atom.

---

LaAlN2: optimized geometry, PBE.

Lattice parameters (Å, degrees): 5.5868 5.5868 7.3105 90.00 90.00 90.00
Space group I-42d (No. 122)
Unique sites:
La  0.0000  0.0000  0.0000 [4 per cell]
Al  0.0000  0.0000  0.5000 [4 per cell]
N  0.1727  0.2500  0.6250 [8 per cell]

Results
As for the total energy: -7.55 eV/atom. As for the crystal system: tetragonal. Its formation energy without anion corrections is -1.2205 eV per atom.

---

LaAlN2: optimized geometry, PBE.

Lattice parameters (Å, degrees): 3.9034 3.9034 17.6818 90.00 90.00 120.00
Space group R-3m (No. 166, hexagonal axes)
Unique sites:
La  0.0000  0.0000  0.0000 [3 per cell]
Al  0.0000  0.0000  0.5000 [3 per cell]
N  0.0000  0.0000  0.4015 [6 per cell]

Results
As for the total energy: -7.15 eV/atom. As for the crystal system: trigonal. Its formation energy without anion corrections is -0.8215 eV per atom.

---

La4AlN: optimized geometry, PBE.

Lattice parameters (Å, degrees): 14.9730 6.2486 7.2335 90.00 106.49 90.00
Space group C2/c (No. 15)
Unique sites:
La  0.0954  0.0928  0.4640 [8 per cell]
La  0.1897  0.4251  0.1570 [8 per cell]
Al  0.0000  0.4059  0.7500 [4 per cell]
N  0.2500  0.2500  0.5000 [4 per cell]

Results
As for the total energy: -5.80 eV/atom. As for the crystal system: monoclinic. Its formation energy without anion corrections is -0.5022 eV per atom. As for the energy above the lowest structure with this stoichiometry: 0 meV per atom.

---

La2AlN3: optimized geometry, PBE.

Lattice parameters (Å, degrees): 5.6937 10.8846 11.9743 90.00 92.95 90.00
Space group C2/c (No. 15)
Unique sites:
La  0.2417  0.1054  0.4252 [8 per cell]
La  0.2438  0.2061  0.8501 [8 per cell]
Al  0.2355  0.4994  0.3350 [8 per cell]
N  0.0000  0.0014  0.7500 [4 per cell]
N  0.0000  0.4122  0.7500 [4 per cell]
N  0.1761  0.3279  0.3694 [8 per cell]
N  0.2187  0.0988  0.0330 [8 per cell]

Results
As for the total energy: -7.80 eV/atom. As for the crystal system: monoclinic. Its formation energy without anion corrections is -1.3703 eV per atom. As for the energy above the lowest structure with this stoichiometry: 0 meV per atom.

---

Q: Among the records above, which one has the lowest formation energy without anion corrections?
A: number 6